DFT (PBE) results for an optimized crystal structure of NdAlRu.

Unit cell a=3.294 b=3.294 c=11.120 alpha=90.00 beta=90.00 gamma=90.00
Space group I4mm (No. 107)
One atom of each set of equivalent atoms:
Nd 0.000 0.000 0.000 [2 per cell]
Al 0.000 0.000 0.280 [2 per cell]
Ru 0.000 0.000 0.682 [2 per cell]

## Properties
V   121 Å³ per cell
ΔH_f (0 K)   -0.3554 eV per atom
Magnetization   0.00 μB/atom
Raw total energy   -6.28 eV per atom